--- one ---
Entry from Alexandria via LeMat-Bulk: a relaxed YCo2F crystal (PBE with a Hubbard U).

Summary:
Total magnetic moment   0.9182 μB/atom
DOS at the Fermi energy   48.0 states/eV/cell
Calculated density   5.7 g cm⁻³

The structure in CIF format:
```
data_YCo2F
_chemical_formula_sum 'Y4 Co8 F4'
_cell_length_a 6.414
_cell_length_b 6.414
_cell_length_c 6.414
_cell_angle_alpha 90.00
_cell_angle_beta 90.00
_cell_angle_gamma 90.00
_space_group_name_H-M_alt 'F m -3 m'
_space_group_IT_number 225
_space_group_name_Hall '-F 4 2 3'
loop_
_atom_site_label
_atom_site_fract_x
_atom_site_fract_y
_atom_site_fract_z
Y1 0.000 0.000 0.000
Co1 0.250 0.250 0.250
F1 0.000 0.000 0.500
```


--- two ---
Entry from Alexandria via LeMat-Bulk: a relaxed YCo2F crystal (PBE with a Hubbard U).

Summary:
Total magnetic moment   0.8830 μB/atom
DOS at the Fermi energy   14.1 states/eV/cell
Calculated density   4.9 g cm⁻³

The structure in CIF format:
```
data_YCo2F
_chemical_formula_sum 'Y4 Co8 F4'
_cell_length_a 4.401
_cell_length_b 4.401
_cell_length_c 15.657
_cell_angle_alpha 90.00
_cell_angle_beta 90.00
_cell_angle_gamma 90.00
_space_group_name_H-M_alt 'I 41/a m d'
_space_group_IT_number 141
loop_
_space_group_symop_operation_xyz
'x,y,z'
'-x,-y,-z'
'-y+1/4,x+3/4,z+1/4'
'y+1/4,-x+3/4,-z+1/4'
'-x+1/2,-y,z+1/2'
'x+1/2,y,-z+1/2'
'y+1/4,-x+1/4,z+3/4'
'-y+1/4,x+1/4,-z+3/4'
'x,-y,-z'
'-x,y,z'
'-y+1/4,-x+1/4,-z+3/4'
'y+1/4,x+1/4,z+3/4'
'-x+1/2,y,-z+1/2'
'x+1/2,-y,z+1/2'
'y+1/4,x+3/4,-z+1/4'
'-y+1/4,-x+3/4,z+1/4'
'x+1/2,y+1/2,z+1/2'
'-x+1/2,-y+1/2,-z+1/2'
'-y+3/4,x+1/4,z+3/4'
'y+3/4,-x+1/4,-z+3/4'
'-x,-y+1/2,z'
'x,y+1/2,-z'
'y+3/4,-x+3/4,z+1/4'
'-y+3/4,x+3/4,-z+1/4'
'x+1/2,-y+1/2,-z+1/2'
'-x+1/2,y+1/2,z+1/2'
'-y+3/4,-x+3/4,-z+1/4'
'y+3/4,x+3/4,z+1/4'
'-x,y+1/2,-z'
'x,-y+1/2,z'
'y+3/4,x+1/4,-z+3/4'
'-y+3/4,-x+1/4,z+3/4'
loop_
_atom_site_label
_atom_site_fract_x
_atom_site_fract_y
_atom_site_fract_z
Y1 0.000 0.250 0.375
Co1 0.000 0.000 0.000
F1 0.000 0.250 0.875
```


Most stable to least stable: two, one


--- one ---
Entry from Alexandria via LeMat-Bulk: a relaxed Zn3CoF crystal (PBE with a Hubbard U).

Summary:
Total magnetic moment   0.3985 μB/atom
DOS at the Fermi energy   1.3 states/eV/cell
Calculated density   5.8 g cm⁻³

The structure in CIF format:
```
data_Zn3CoF
_chemical_formula_sum 'Zn3 Co1 F1'
_cell_length_a 4.271
_cell_length_b 4.271
_cell_length_c 4.271
_cell_angle_alpha 90.00
_cell_angle_beta 90.00
_cell_angle_gamma 90.00
_space_group_name_H-M_alt 'P m -3 m'
_space_group_IT_number 221
_space_group_name_Hall '-P 4 2 3'
loop_
_atom_site_label
_atom_site_fract_x
_atom_site_fract_y
_atom_site_fract_z
Zn1 0.000 0.000 0.500
Co1 0.500 0.500 0.500
F1 0.000 0.000 0.000
```


--- two ---
Entry from Alexandria via LeMat-Bulk: a relaxed Zn3CoF crystal (PBE with a Hubbard U).

Summary:
Total magnetic moment   0.2878 μB/atom
DOS at the Fermi energy   7.6 states/eV/cell
Calculated density   4.6 g cm⁻³

The structure in CIF format:
```
data_Zn3CoF
_chemical_formula_sum 'Zn3 Co1 F1'
_cell_length_a 4.628
_cell_length_b 4.628
_cell_length_c 4.628
_cell_angle_alpha 90.00
_cell_angle_beta 90.00
_cell_angle_gamma 90.00
_space_group_name_H-M_alt 'P m -3 m'
_space_group_IT_number 221
_space_group_name_Hall '-P 4 2 3'
loop_
_atom_site_label
_atom_site_fract_x
_atom_site_fract_y
_atom_site_fract_z
Zn1 0.000 0.000 0.500
Co1 0.000 0.000 0.000
F1 0.500 0.500 0.500
```


Most stable to least stable: one, two


--- one ---
Entry from Alexandria via LeMat-Bulk: a relaxed Zn2CoF6 crystal (PBE with a Hubbard U).

Summary:
Total magnetic moment   0.3333 μB/atom
DOS at the Fermi energy   0.0 states/eV/cell
Calculated density   4.3 g cm⁻³

The structure in CIF format:
```
data_Zn2CoF6
_chemical_formula_sum 'Zn6 Co3 F18'
_cell_length_a 5.3270
_cell_length_b 5.3270
_cell_length_c 14.3174
_cell_angle_alpha 90.00
_cell_angle_beta 90.00
_cell_angle_gamma 120.00
_space_group_name_H-M_alt 'R 3'
_space_group_IT_number 146
_space_group_name_Hall 'R 3'
loop_
_atom_site_label
_atom_site_fract_x
_atom_site_fract_y
_atom_site_fract_z
Zn1 0.0000 0.0000 0.0000
Zn2 0.0000 0.0000 0.2001
Co1 0.0000 0.0000 0.5041
F1 0.0017 0.3495 0.2575
F2 0.0231 0.6228 0.7666
```


--- two ---
Entry from Alexandria via LeMat-Bulk: a relaxed Zn2CoF6 crystal (PBE with a Hubbard U).

Summary:
Total magnetic moment   0.3333 μB/atom
DOS at the Fermi energy   0.0 states/eV/cell
Calculated density   4.5 g cm⁻³

The structure in CIF format:
```
data_Zn2CoF6
_chemical_formula_sum 'Zn8 Co4 F24'
_cell_length_a 8.960
_cell_length_b 10.013
_cell_length_c 5.146
_cell_angle_alpha 90.00
_cell_angle_beta 105.64
_cell_angle_gamma 90.00
_space_group_name_H-M_alt 'C 1 2/c 1'
_space_group_IT_number 15
_space_group_name_Hall '-C 2yc'
loop_
_atom_site_label
_atom_site_fract_x
_atom_site_fract_y
_atom_site_fract_z
Zn1 0.179 0.096 0.003
Co1 0.000 0.401 0.250
F1 0.107 0.082 0.603
F2 0.136 0.279 0.104
F3 0.140 0.451 0.630
```


Most stable to least stable: one, two


--- one ---
Entry from Alexandria via LeMat-Bulk: a relaxed ZnCoF2 crystal (PBE with a Hubbard U).

Summary:
Total magnetic moment   0.7244 μB/atom
DOS at the Fermi energy   17.1 states/eV/cell
Calculated density   4.1 g cm⁻³

The structure in CIF format:
```
data_ZnCoF2
_chemical_formula_sum 'Zn3 Co3 F6'
_cell_length_a 3.0761
_cell_length_b 3.0761
_cell_length_c 23.9769
_cell_angle_alpha 90.00
_cell_angle_beta 90.00
_cell_angle_gamma 120.00
_space_group_name_H-M_alt 'R -3 m'
_space_group_IT_number 166
_space_group_name_Hall '-R 3 2"'
loop_
_atom_site_label
_atom_site_fract_x
_atom_site_fract_y
_atom_site_fract_z
Zn1 0.0000 0.0000 0.0000
Co1 0.0000 0.0000 0.5000
F1 0.0000 0.0000 0.1228
```


--- two ---
Entry from Alexandria via LeMat-Bulk: a relaxed ZnCoF2 crystal (PBE with a Hubbard U).

Summary:
Total magnetic moment   0.7500 μB/atom
DOS at the Fermi energy   0.0 states/eV/cell
Calculated density   3.2 g cm⁻³

The structure in CIF format:
```
data_ZnCoF2
_chemical_formula_sum 'Zn4 Co4 F8'
_cell_length_a 5.990
_cell_length_b 5.990
_cell_length_c 9.310
_cell_angle_alpha 90.00
_cell_angle_beta 90.00
_cell_angle_gamma 90.00
_space_group_name_H-M_alt 'I -4 2 d'
_space_group_IT_number 122
_space_group_name_Hall 'I -4 2bw'
loop_
_atom_site_label
_atom_site_fract_x
_atom_site_fract_y
_atom_site_fract_z
Zn1 0.000 0.000 0.000
Co1 0.000 0.000 0.500
F1 0.066 0.250 0.625
```


--- three ---
Entry from Alexandria via LeMat-Bulk: a relaxed ZnCoF2 crystal (PBE with a Hubbard U).

Summary:
Total magnetic moment   0.6286 μB/atom
DOS at the Fermi energy   17.6 states/eV/cell
Calculated density   5.5 g cm⁻³

The structure in CIF format:
```
data_ZnCoF2
_chemical_formula_sum 'Zn4 Co4 F8'
_cell_length_a 5.817
_cell_length_b 5.817
_cell_length_c 5.817
_cell_angle_alpha 90.00
_cell_angle_beta 90.00
_cell_angle_gamma 90.00
_space_group_name_H-M_alt 'F m -3 m'
_space_group_IT_number 225
_space_group_name_Hall '-F 4 2 3'
loop_
_atom_site_label
_atom_site_fract_x
_atom_site_fract_y
_atom_site_fract_z
Zn1 0.000 0.000 0.000
Co1 0.000 0.000 0.500
F1 0.250 0.250 0.250
```


Most stable to least stable: one, two, three


--- one ---
Entry from Alexandria via LeMat-Bulk: a relaxed ZrCoF2 crystal (PBE with a Hubbard U).

Summary:
Total magnetic moment   0.0001 μB/atom
DOS at the Fermi energy   11.3 states/eV/cell
Calculated density   6.5 g cm⁻³

The structure in CIF format:
```
data_ZrCoF2
_chemical_formula_sum 'Zr4 Co4 F8'
_cell_length_a 5.780
_cell_length_b 5.780
_cell_length_c 5.780
_cell_angle_alpha 90.00
_cell_angle_beta 90.00
_cell_angle_gamma 90.00
_space_group_name_H-M_alt 'F m -3 m'
_space_group_IT_number 225
_space_group_name_Hall '-F 4 2 3'
loop_
_atom_site_label
_atom_site_fract_x
_atom_site_fract_y
_atom_site_fract_z
Zr1 0.000 0.000 0.000
Co1 0.000 0.000 0.500
F1 0.250 0.250 0.250
```


--- two ---
Entry from Alexandria via LeMat-Bulk: a relaxed ZrCoF2 crystal (PBE with a Hubbard U).

Summary:
Total magnetic moment   0.5821 μB/atom
DOS at the Fermi energy   7.6 states/eV/cell
Calculated density   5.1 g cm⁻³

The structure in CIF format:
```
data_ZrCoF2
_chemical_formula_sum 'Zr3 Co3 F6'
_cell_length_a 2.9086
_cell_length_b 2.9086
_cell_length_c 25.2833
_cell_angle_alpha 90.00
_cell_angle_beta 90.00
_cell_angle_gamma 120.00
_space_group_name_H-M_alt 'R -3 m'
_space_group_IT_number 166
_space_group_name_Hall '-R 3 2"'
loop_
_atom_site_label
_atom_site_fract_x
_atom_site_fract_y
_atom_site_fract_z
Zr1 0.0000 0.0000 0.0000
Co1 0.0000 0.0000 0.5000
F1 0.0000 0.0000 0.3947
```


--- three ---
Entry from Alexandria via LeMat-Bulk: a relaxed ZrCoF2 crystal (PBE with a Hubbard U).

Summary:
Total magnetic moment   0.3133 μB/atom
DOS at the Fermi energy   5.0 states/eV/cell
Calculated density   5.1 g cm⁻³

The structure in CIF format:
```
data_ZrCoF2
_chemical_formula_sum 'Zr3 Co3 F6'
_cell_length_a 3.4094
_cell_length_b 3.4094
_cell_length_c 18.1542
_cell_angle_alpha 90.00
_cell_angle_beta 90.00
_cell_angle_gamma 120.00
_space_group_name_H-M_alt 'R -3 m'
_space_group_IT_number 166
_space_group_name_Hall '-R 3 2"'
loop_
_atom_site_label
_atom_site_fract_x
_atom_site_fract_y
_atom_site_fract_z
Zr1 0.0000 0.0000 0.0000
Co1 0.0000 0.0000 0.5000
F1 0.0000 0.0000 0.1187
```


Most stable to least stable: two, three, one


--- one ---
Entry from Alexandria via LeMat-Bulk: a relaxed Zr3CoF6 crystal (PBE with a Hubbard U).

Summary:
Total magnetic moment   0.2353 μB/atom
DOS at the Fermi energy   3.4 states/eV/cell
Calculated density   4.2 g cm⁻³

The structure in CIF format:
```
data_Zr3CoF6
_chemical_formula_sum 'Zr3 Co1 F6'
_cell_length_a 5.869
_cell_length_b 5.943
_cell_length_c 6.121
_cell_angle_alpha 90.02
_cell_angle_beta 114.31
_cell_angle_gamma 113.63
_space_group_name_H-M_alt 'P -1'
_space_group_IT_number 2
_space_group_name_Hall '-P 1'
loop_
_atom_site_label
_atom_site_fract_x
_atom_site_fract_y
_atom_site_fract_z
Zr1 0.000 0.000 0.000
Zr2 0.000 0.000 0.500
Zr3 0.500 0.000 0.000
Co1 0.500 0.500 0.000
F1 0.067 0.299 0.804
F2 0.202 0.762 0.648
F3 0.460 0.251 0.726
```


--- two ---
Entry from Alexandria via LeMat-Bulk: a relaxed Zr3CoF6 crystal (PBE with a Hubbard U).

Summary:
Total magnetic moment   0.0000 μB/atom
DOS at the Fermi energy   10.2 states/eV/cell
Calculated density   5.0 g cm⁻³

The structure in CIF format:
```
data_Zr3CoF6
_chemical_formula_sum 'Zr9 Co3 F18'
_cell_length_a 8.0838
_cell_length_b 8.0838
_cell_length_c 7.8876
_cell_angle_alpha 90.00
_cell_angle_beta 90.00
_cell_angle_gamma 120.00
_space_group_name_H-M_alt 'R -3'
_space_group_IT_number 148
_space_group_name_Hall '-R 3'
loop_
_atom_site_label
_atom_site_fract_x
_atom_site_fract_y
_atom_site_fract_z
Zr1 0.0000 0.5000 0.0000
Co1 0.0000 0.0000 0.5000
F1 0.0038 0.7433 0.8885
```


Most stable to least stable: two, one


--- one ---
Entry from Alexandria via LeMat-Bulk: a relaxed ZrCo2F crystal (PBE with a Hubbard U).

Summary:
Total magnetic moment   0.7501 μB/atom
DOS at the Fermi energy   15.7 states/eV/cell
Calculated density   6.0 g cm⁻³

The structure in CIF format:
```
data_ZrCo2F
_chemical_formula_sum 'Zr4 Co8 F4'
_cell_length_a 6.303
_cell_length_b 6.303
_cell_length_c 6.303
_cell_angle_alpha 90.00
_cell_angle_beta 90.00
_cell_angle_gamma 90.00
_space_group_name_H-M_alt 'F m -3 m'
_space_group_IT_number 225
_space_group_name_Hall '-F 4 2 3'
loop_
_atom_site_label
_atom_site_fract_x
_atom_site_fract_y
_atom_site_fract_z
Zr1 0.000 0.000 0.000
Co1 0.250 0.250 0.250
F1 0.000 0.000 0.500
```


--- two ---
Entry from Alexandria via LeMat-Bulk: a relaxed ZrCo2F crystal (PBE with a Hubbard U).

Summary:
Total magnetic moment   0.7530 μB/atom
DOS at the Fermi energy   14.6 states/eV/cell
Calculated density   6.4 g cm⁻³

The structure in CIF format:
```
data_ZrCo2F
_chemical_formula_sum 'Zr4 Co8 F4'
_cell_length_a 7.082
_cell_length_b 7.082
_cell_length_c 4.707
_cell_angle_alpha 90.00
_cell_angle_beta 90.00
_cell_angle_gamma 90.00
_space_group_name_H-M_alt 'I -4 2 d'
_space_group_IT_number 122
_space_group_name_Hall 'I -4 2bw'
loop_
_atom_site_label
_atom_site_fract_x
_atom_site_fract_y
_atom_site_fract_z
Zr1 0.000 0.000 0.000
Co1 0.201 0.250 0.625
F1 0.000 0.000 0.500
```


Most stable to least stable: two, one


--- one ---
Entry from Alexandria via LeMat-Bulk: a relaxed ZrCo3F crystal (PBE with a Hubbard U).

Summary:
Total magnetic moment   0.6288 μB/atom
DOS at the Fermi energy   2.0 states/eV/cell
Calculated density   4.7 g cm⁻³

The structure in CIF format:
```
data_ZrCo3F
_chemical_formula_sum 'Zr1 Co3 F1'
_cell_length_a 4.657
_cell_length_b 4.657
_cell_length_c 4.657
_cell_angle_alpha 90.00
_cell_angle_beta 90.00
_cell_angle_gamma 90.00
_space_group_name_H-M_alt 'P m -3 m'
_space_group_IT_number 221
_space_group_name_Hall '-P 4 2 3'
loop_
_atom_site_label
_atom_site_fract_x
_atom_site_fract_y
_atom_site_fract_z
Zr1 0.000 0.000 0.000
Co1 0.000 0.000 0.500
F1 0.500 0.500 0.500
```


--- two ---
Entry from Alexandria via LeMat-Bulk: a relaxed ZrCo3F crystal (PBE with a Hubbard U).

Summary:
Total magnetic moment   0.8085 μB/atom
DOS at the Fermi energy   3.3 states/eV/cell
Calculated density   6.5 g cm⁻³

The structure in CIF format:
```
data_ZrCo3F
_chemical_formula_sum 'Zr1 Co3 F1'
_cell_length_a 4.178
_cell_length_b 4.178
_cell_length_c 4.178
_cell_angle_alpha 90.00
_cell_angle_beta 90.00
_cell_angle_gamma 90.00
_space_group_name_H-M_alt 'P m -3 m'
_space_group_IT_number 221
_space_group_name_Hall '-P 4 2 3'
loop_
_atom_site_label
_atom_site_fract_x
_atom_site_fract_y
_atom_site_fract_z
Zr1 0.000 0.000 0.000
Co1 0.000 0.500 0.500
F1 0.500 0.500 0.500
```


Most stable to least stable: two, one


--- one ---
Entry from Alexandria via LeMat-Bulk: a relaxed Zr2CoF crystal (PBE with a Hubbard U).

Summary:
Total magnetic moment   0.0000 μB/atom
DOS at the Fermi energy   14.8 states/eV/cell
Calculated density   5.7 g cm⁻³

The structure in CIF format:
```
data_Zr2CoF
_chemical_formula_sum 'Zr8 Co4 F4'
_cell_length_a 5.103
_cell_length_b 5.103
_cell_length_c 11.592
_cell_angle_alpha 90.00
_cell_angle_beta 90.00
_cell_angle_gamma 90.00
_space_group_name_H-M_alt 'I -4 2 d'
_space_group_IT_number 122
_space_group_name_Hall 'I -4 2bw'
loop_
_atom_site_label
_atom_site_fract_x
_atom_site_fract_y
_atom_site_fract_z
Zr1 0.228 0.250 0.125
Co1 0.000 0.000 0.500
F1 0.000 0.000 0.000
```


--- two ---
Entry from Alexandria via LeMat-Bulk: a relaxed Zr2CoF crystal (PBE with a Hubbard U).

Summary:
Total magnetic moment   0.0991 μB/atom
DOS at the Fermi energy   15.2 states/eV/cell
Calculated density   6.8 g cm⁻³

The structure in CIF format:
```
data_Zr2CoF
_chemical_formula_sum 'Zr8 Co4 F4'
_cell_length_a 6.330
_cell_length_b 6.330
_cell_length_c 6.330
_cell_angle_alpha 90.00
_cell_angle_beta 90.00
_cell_angle_gamma 90.00
_space_group_name_H-M_alt 'F m -3 m'
_space_group_IT_number 225
_space_group_name_Hall '-F 4 2 3'
loop_
_atom_site_label
_atom_site_fract_x
_atom_site_fract_y
_atom_site_fract_z
Zr1 0.250 0.250 0.250
Co1 0.000 0.000 0.000
F1 0.000 0.000 0.500
```


Most stable to least stable: one, two